Material: Ag2TeI
Method: DFT, GGA-PBE
State: optimized geometry

Values from the calculation:
Energy above the lowest structure with this stoichiometry in meV/atom: 26
V in Å³/cell: 251.11
Formation energy from raw total energies in kcal/mol of atoms: -2.38
Space-group type: P1, No. 1
Total energy in eV per atom: -2.702

Cell lengths 4.725, 6.928, 8.218 Å; angles 97.06, 90.11, 109.67 degrees
Sites, in units of the cell vectors:
I (0.748, 0.991, 0.240)
I (0.960, 0.567, 0.522)
Te (0.414, 0.478, 0.966)
Te (0.212, 0.081, 0.769)
Ag (0.453, 0.562, 0.320)
Ag (0.729, 0.133, 0.584)
Ag (0.873, 0.400, 0.128)
Ag (0.610, 0.888, 0.879)

---

Material: LiPaSb2O6
Method: DFT, GGA-PBE
State: optimized geometry

Values from the calculation:
V in Å³/cell: 340.56
Formation energy from raw total energies in kcal/mol of atoms: -50.89
Space-group type: P2_1/c, No. 14
Total energy in eV per atom: -7.147

Cell lengths 6.036, 5.320, 10.607 Å; angles 90.00, 89.99, 90.00 degrees
Sites, in units of the cell vectors:
Li (0.000, 0.500, 0.000)
Li (0.500, 0.000, 0.500)
Pa (0.000, 0.500, 0.500)
Pa (0.500, 0.000, 0.000)
Sb (0.000, 0.060, 0.185)
Sb (0.500, 0.560, 0.315)
Sb (0.500, 0.440, 0.685)
Sb (0.000, 0.940, 0.815)
O (0.728, 0.264, 0.579)
O (0.773, 0.236, 0.078)
O (0.999, 0.310, 0.323)
O (0.501, 0.810, 0.177)
O (0.727, 0.736, 0.422)
O (0.772, 0.764, 0.921)
O (0.228, 0.236, 0.079)
O (0.273, 0.264, 0.578)
O (0.499, 0.190, 0.823)
O (0.227, 0.764, 0.922)
O (0.001, 0.690, 0.677)
O (0.272, 0.736, 0.421)

---

Material: Co2BAs
Method: DFT, GGA-PBE
State: optimized geometry

Values from the calculation:
Energy above the lowest structure with this stoichiometry in meV/atom: 0
V in Å³/cell: 109.06
Space-group type: I-42d, No. 122
Energy relative to the elements in eV per atom: 0.28
Total energy in eV per atom: -6.103

Cell lengths 4.781, 4.781, 5.847 Å; angles 65.87, 65.87, 90.00 degrees
Sites, in units of the cell vectors:
As (0.000, 0.000, 0.000)
As (0.750, 0.250, 0.500)
B (0.500, 0.500, 0.000)
B (0.250, 0.750, 0.500)
Co (0.555, 0.125, 0.250)
Co (0.195, 0.625, 0.250)
Co (0.375, 0.445, 0.750)
Co (0.875, 0.805, 0.750)

---

- Look up the total energy of the second one.
  -7.147 eV per atom

---

- What is the formula in the first record?
  Ag2TeI

---

- Which of these has the lowest total energy?
  LiPaSb2O6